# Pd2IO PBE-GGA optimized geometry
data_Pd2IO
_space_group_name_H-M_alt 'F m -3 m'
_space_group_IT_number 225
_space_group_name_Hall '-F 4 2 3'
_cell_length_a 6.365
_cell_length_b 6.365
_cell_length_c 6.365
_cell_angle_alpha 90.00
_cell_angle_beta 90.00
_cell_angle_gamma 90.00
loop_
_atom_site_label
_atom_site_fract_x
_atom_site_fract_y
_atom_site_fract_z
Pd1 0.250 0.250 0.250
I1 0.000 0.000 0.000
O1 0.000 0.000 0.500
# - Uncorrected formation energy: 385 meV/atom
# - Density: 9.2 Mg/m³
# - Magnetization: 0.00 μB/cell
# - Energy relative to the lowest polymorph listed for this composition: 1.59 eV per formula unit
# - N(E_F): 7.762 states/eV/f.u.



# Pd3IO PBE-GGA optimized geometry
data_Pd3IO
_space_group_name_H-M_alt 'P m -3 m'
_space_group_IT_number 221
_space_group_name_Hall '-P 4 2 3'
_cell_length_a 4.397
_cell_length_b 4.397
_cell_length_c 4.397
_cell_angle_alpha 90.00
_cell_angle_beta 90.00
_cell_angle_gamma 90.00
loop_
_atom_site_label
_atom_site_fract_x
_atom_site_fract_y
_atom_site_fract_z
Pd1 0.000 0.000 0.500
I1 0.500 0.500 0.500
O1 0.000 0.000 0.000
# - Uncorrected formation energy: 161 meV/atom
# - Density: 9.0 Mg/m³
# - Magnetization: 0.00 μB/cell
# - Energy relative to the lowest polymorph listed for this composition: 0.00 eV per formula unit
# - N(E_F): 3.745 states/eV/f.u.



# PdIO2 PBE-GGA optimized geometry
data_PdIO2
_space_group_name_H-M_alt 'F m -3 m'
_space_group_IT_number 225
_space_group_name_Hall '-F 4 2 3'
_cell_length_a 5.953
_cell_length_b 5.953
_cell_length_c 5.953
_cell_angle_alpha 90.00
_cell_angle_beta 90.00
_cell_angle_gamma 90.00
loop_
_atom_site_label
_atom_site_fract_x
_atom_site_fract_y
_atom_site_fract_z
Pd1 0.000 0.000 0.000
I1 0.000 0.000 0.500
O1 0.250 0.250 0.250
# - Uncorrected formation energy: 608 meV/atom
# - Density: 8.4 Mg/m³
# - Magnetization: 0.00 μB/cell
# - Energy relative to the lowest polymorph listed for this composition: 2.83 eV per formula unit
# - N(E_F): 1.913 states/eV/f.u.



# PdIO3 PBE-GGA optimized geometry
data_PdIO3
_space_group_name_H-M_alt 'P m -3 m'
_space_group_IT_number 221
_space_group_name_Hall '-P 4 2 3'
_cell_length_a 4.079
_cell_length_b 4.079
_cell_length_c 4.079
_cell_angle_alpha 90.00
_cell_angle_beta 90.00
_cell_angle_gamma 90.00
loop_
_atom_site_label
_atom_site_fract_x
_atom_site_fract_y
_atom_site_fract_z
Pd1 0.000 0.000 0.000
I1 0.500 0.500 0.500
O1 0.000 0.500 0.500
# - Uncorrected formation energy: 363 meV/atom
# - Density: 6.9 Mg/m³
# - Magnetization: 0.92 μB/cell
# - N(E_F): 10.006 states/eV/f.u.



# Pd2IO PBE-GGA optimized geometry
data_Pd2IO
_space_group_name_H-M_alt 'I -4 2 d'
_space_group_IT_number 122
_space_group_name_Hall 'I -4 2bw'
_cell_length_a 5.272
_cell_length_b 5.272
_cell_length_c 12.113
_cell_angle_alpha 90.00
_cell_angle_beta 90.00
_cell_angle_gamma 90.00
loop_
_atom_site_label
_atom_site_fract_x
_atom_site_fract_y
_atom_site_fract_z
Pd1 0.058 0.250 0.125
I1 0.000 0.000 0.500
O1 0.000 0.000 0.000
# - Uncorrected formation energy: -13 meV/atom
# - Density: 7.0 Mg/m³
# - Magnetization: 0.00 μB/cell
# - Energy relative to the lowest polymorph listed for this composition: 0.00 eV per formula unit
# - N(E_F): 5.767 states/eV/f.u.



# PdI2O6 PBE-GGA optimized geometry
data_PdI2O6
_space_group_name_H-M_alt 'C 1 2/m 1'
_space_group_IT_number 12
_space_group_name_Hall '-C 2y'
_cell_length_a 9.809
_cell_length_b 3.992
_cell_length_c 7.930
_cell_angle_alpha 90.00
_cell_angle_beta 111.15
_cell_angle_gamma 90.00
loop_
_atom_site_label
_atom_site_fract_x
_atom_site_fract_y
_atom_site_fract_z
Pd1 0.000 0.000 0.000
I1 0.200 0.000 0.693
O1 0.033 0.000 0.750
O2 0.143 0.500 0.087
O3 0.209 0.500 0.665
# - Uncorrected formation energy: -140 meV/atom
# - Density: 5.2 Mg/m³
# - Magnetization: 2.83 μB/cell
# - N(E_F): 3.108 states/eV/f.u.



Question: Look up the density of the sixth one.
Answer: 5.2 Mg/m³